{
  "formula": "Ac2La4Te3N2",
  "functional": "GGA-PBE",
  "state": "relaxed",
  "lattice": [[-4.4431, -1.5336, -1.1457], [1.1667, 0.1260, -4.6934], [5.9842, -12.4311, 3.6474]],
  "species": ["Ac", "Ac", "La", "La", "La", "La", "Te", "Te", "Te", "N", "N"],
  "frac_coords": [[0.3043, 0.3043, 0.6086], [0.6957, 0.6957, 0.3914], [0.4176, 0.9176, 0.8352], [0.9176, 0.4176, 0.8352], [0.0824, 0.5824, 0.1648], [0.5824, 0.0824, 0.1648], [0.0000, 0.0000, 0.0000], [0.1738, 0.1738, 0.3477], [0.8262, 0.8262, 0.6523], [0.3938, 0.3938, 0.7876], [0.6062, 0.6062, 0.2124]],
  "total_magnetization_mub_per_atom": 0.00,
  "e_form_raw_ev_per_atom": -1.27,
  "space_group": "I4/mmm",
  "energy_ev_per_cell": -68.02
}